Run a
# K2SbSe

K2SbSe at its PBEsol-relaxed geometry (meta-GGA SCAN, Alexandria via LeMat-Bulk).

Values from the calculation:
Total magnetization   0.00 Bohr magnetons per cell

a b c (Å): 3.6268 3.6268 10.8312
angles (deg): 80.36 80.36 60.00
Last column: nearest neighbours and their distance in Å.
Sites, in units of the cell vectors:
K 0.2590 0.2590 0.2231  3 Se 3.16
K 0.7410 0.7410 0.7769  3 Se 3.16
Sb 0.5000 0.5000 0.5000  6 K 3.61, 6 Sb 3.63
Se 0.0000 0.0000 0.0000  6 K 3.16

---

Run b
# K2SbSe

K2SbSe at its PBEsol-relaxed geometry (meta-GGA SCAN, Alexandria via LeMat-Bulk).

Values from the calculation:
Total magnetization   0.00 Bohr magnetons per cell

a b c (Å): 4.6877 4.6877 6.0877
angles (deg): 112.64 112.64 90.00
Last column: nearest neighbours and their distance in Å.
Sites, in units of the cell vectors:
K 0.2500 0.7500 0.5000  4 K 3.31, 4 Se 3.47, 4 Sb 3.47
K 0.7500 0.2500 0.5000  4 K 3.31, 4 Se 3.47, 4 Sb 3.47
Sb 0.0000 0.0000 0.0000  4 Se 3.31, 8 K 3.47
Se 0.5000 0.5000 0.0000  4 Sb 3.31, 8 K 3.47

---

Stability ranking, top entry: run b; the second entry is 15.4 kJ/mol of atoms less favorable.

---

Run a
# Ca2CrW

Ca2CrW at its PBEsol-relaxed geometry (meta-GGA SCAN, Alexandria via LeMat-Bulk).

Values from the calculation:
Total magnetization   2.98 Bohr magnetons per cell

a b c (Å): 2.9448 5.4497 5.4130
angles (deg): 96.66 105.78 90.00
Last column: nearest neighbours and their distance in Å.
Sites, in units of the cell vectors:
Cr 0.5000 0.0000 0.0000  2 Cr 2.94, 6 Ca 3.08-3.18, 4 W 3.10
Ca 0.2515 0.2554 0.5030  6 Ca 2.94-3.15, 3 W 3.08-3.13, 3 Cr 3.08-3.18
Ca 0.7485 0.7446 0.4970  6 Ca 2.94-3.15, 3 W 3.08-3.13, 3 Cr 3.08-3.18
W 0.0000 0.5000 0.0000  2 W 2.94, 6 Ca 3.08-3.13, 4 Cr 3.10

---

Run b
# Ca2CrW

Ca2CrW at its PBEsol-relaxed geometry (meta-GGA SCAN, Alexandria via LeMat-Bulk).

Values from the calculation:
Total magnetization   1.75 Bohr magnetons per cell

a b c (Å): 3.9215 3.9215 5.0565
angles (deg): 90.00 90.00 90.00
Last column: nearest neighbours and their distance in Å.
Sites, in units of the cell vectors:
Cr 0.5000 0.5000 0.5000  4 W 2.77
Ca 0.0000 0.5000 0.0000  4 Ca 2.77
Ca 0.5000 0.0000 0.0000  4 Ca 2.77
W 0.0000 0.0000 0.5000  4 Cr 2.77

---

Stability ranking, top entry: run a; the second entry is 0.6 kJ/mol of atoms less favorable.

---

Run a
# HgTeAu2

HgTeAu2 at its PBEsol-relaxed geometry (meta-GGA SCAN, Alexandria via LeMat-Bulk).

Values from the calculation:
Total magnetization   0.00 Bohr magnetons per cell

a b c (Å): 4.8939 4.8939 4.8939
angles (deg): 60.00 60.00 60.00
Last column: nearest neighbours and their distance in Å.
Sites, in units of the cell vectors:
Au 0.0000 0.0000 0.0000  4 Te 3.00, 4 Au 3.00
Au 0.7500 0.7500 0.7500  4 Au 3.00, 4 Hg 3.00
Hg 0.5000 0.5000 0.5000  4 Au 3.00, 4 Te 3.00
Te 0.2500 0.2500 0.2500  4 Hg 3.00, 4 Au 3.00

---

Run b
# HgTeAu2

HgTeAu2 at its PBEsol-relaxed geometry (meta-GGA SCAN, Alexandria via LeMat-Bulk).

Values from the calculation:
Total magnetization   0.00 Bohr magnetons per cell

a b c (Å): 3.1651 3.1651 8.9387
angles (deg): 90.00 90.00 111.18
Last column: nearest neighbours and their distance in Å.
Sites, in units of the cell vectors:
Au 0.0000 0.0000 0.2612  2 Hg 2.78, 2 Te 2.94
Au 0.0000 0.0000 0.7388  2 Hg 2.78, 2 Te 2.94
Hg 0.5000 0.5000 0.5000  4 Au 2.78
Te 0.5000 0.5000 0.0000  4 Au 2.94, 4 Te 3.17

---

Stability ranking, top entry: run b; the second entry is 6.2 kJ/mol of atoms less favorable.

---

Run a
# BaCrRh2

BaCrRh2 at its PBEsol-relaxed geometry (meta-GGA SCAN, Alexandria via LeMat-Bulk).

Values from the calculation:
Total magnetization   4.04 Bohr magnetons per cell

a b c (Å): 3.1919 4.8549 4.8549
angles (deg): 90.00 90.00 90.00
Last column: nearest neighbours and their distance in Å.
Sites, in units of the cell vectors:
Ba 0.5000 0.5000 0.5000  8 Rh 2.91, 2 Ba 3.19
Cr 0.5000 0.0000 0.0000  8 Rh 2.91, 2 Cr 3.19
Rh 0.0000 0.0000 0.5000  4 Ba 2.91, 4 Cr 2.91, 2 Rh 3.19
Rh 0.0000 0.5000 0.0000  4 Ba 2.91, 4 Cr 2.91, 2 Rh 3.19

---

Run b
# BaCrRh2

BaCrRh2 at its PBEsol-relaxed geometry (meta-GGA SCAN, Alexandria via LeMat-Bulk).

Values from the calculation:
Total magnetization   3.91 Bohr magnetons per cell

a b c (Å): 3.8161 4.4237 4.4240
angles (deg): 90.00 90.00 90.00
Last column: nearest neighbours and their distance in Å.
Sites, in units of the cell vectors:
Ba 0.5000 0.5000 0.0000  8 Rh 2.92, 4 Cr 3.13
Cr 0.5000 0.0000 0.5000  8 Rh 2.92, 4 Ba 3.13
Rh 0.0000 0.0000 0.0000  4 Ba 2.92, 4 Cr 2.92, 4 Rh 3.13
Rh 0.0000 0.5000 0.5000  4 Cr 2.92, 4 Ba 2.92, 4 Rh 3.13

---

Stability ranking, top entry: run b; the second entry is 3.1 kJ/mol of atoms less favorable.

---

Run a
# Tm

Tm at its PBEsol-relaxed geometry (meta-GGA SCAN, Alexandria via LeMat-Bulk).

Values from the calculation:
Total magnetization   0.00 Bohr magnetons per cell

a b c (Å): 3.3407 3.3407 3.3407
angles (deg): 109.47 109.47 109.47
Last column: nearest neighbours and their distance in Å.
Sites, in units of the cell vectors:
Tm 0.0000 0.0000 0.0000  8 Tm 3.34

---

Run b
# Tm

Tm at its PBEsol-relaxed geometry (meta-GGA SCAN, Alexandria via LeMat-Bulk).

Values from the calculation:
Total magnetization   0.16 Bohr magnetons per cell

a b c (Å): 3.4440 3.4440 8.4698
angles (deg): 78.27 78.27 60.00
Last column: nearest neighbours and their distance in Å.
Sites, in units of the cell vectors:
Tm 0.0000 0.0000 0.0000  12 Tm 3.39-3.44
Tm 0.2221 0.2221 0.3338  12 Tm 3.38-3.44
Tm 0.7779 0.7779 0.6662  12 Tm 3.38-3.44

---

Stability ranking, top entry: run b; the second entry is 13.0 kJ/mol of atoms less favorable.

---

Run a
# Mg2ScTc

Mg2ScTc at its PBEsol-relaxed geometry (meta-GGA SCAN, Alexandria via LeMat-Bulk).

Values from the calculation:
Total magnetization   0.00 Bohr magnetons per cell

a b c (Å): 2.8374 4.5257 5.5897
angles (deg): 90.00 90.00 90.00
Last column: nearest neighbours and their distance in Å.
Sites, in units of the cell vectors:
Mg 0.0000 0.0000 0.7323  3 Mg 2.60-2.84
Mg 0.0000 0.0000 0.2677  3 Mg 2.60-2.84
Sc 0.5000 0.5000 0.0000  2 Tc 2.79, 2 Sc 2.84, 8 Mg 3.06
Tc 0.5000 0.5000 0.5000  2 Sc 2.79, 2 Tc 2.84, 8 Mg 2.97

---

Run b
# Mg2ScTc

Mg2ScTc at its PBEsol-relaxed geometry (meta-GGA SCAN, Alexandria via LeMat-Bulk).

Values from the calculation:
Total magnetization   0.00 Bohr magnetons per cell

a b c (Å): 4.0075 4.0075 5.2674
angles (deg): 112.36 112.36 90.00
Last column: nearest neighbours and their distance in Å.
Sites, in units of the cell vectors:
Mg 0.7500 0.2500 0.5000  4 Mg 2.83, 4 Tc 2.99, 4 Sc 2.99
Mg 0.2500 0.7500 0.5000  4 Mg 2.83, 4 Tc 2.99, 4 Sc 2.99
Sc 0.5000 0.5000 0.0000  4 Tc 2.83, 8 Mg 2.99
Tc 0.0000 0.0000 0.0000  4 Sc 2.83, 8 Mg 2.99

---

Stability ranking, top entry: run b; the second entry is 10.4 kJ/mol of atoms less favorable.

---

Run a
# Rb2BH

Rb2BH at its PBEsol-relaxed geometry (meta-GGA SCAN, Alexandria via LeMat-Bulk).

Values from the calculation:
Total magnetization   2.00 Bohr magnetons per cell

a b c (Å): 5.3261 5.3261 5.3261
angles (deg): 60.00 60.00 60.00
Last column: nearest neighbours and their distance in Å.
Sites, in units of the cell vectors:
H 0.0000 0.0000 0.0000  8 Rb 3.26
B 0.5000 0.5000 0.5000  8 Rb 3.26
Rb 0.2500 0.2500 0.2500  4 H 3.26, 4 B 3.26
Rb 0.7500 0.7500 0.7500  4 H 3.26, 4 B 3.26

---

Run b
# Rb2BH

Rb2BH at its PBEsol-relaxed geometry (meta-GGA SCAN, Alexandria via LeMat-Bulk).

Values from the calculation:
Total magnetization   4.00 Bohr magnetons per cell

a b c (Å): 7.0416 7.0416 7.0416
angles (deg): 103.10 112.75 112.75
Last column: nearest neighbours and their distance in Å.
Sites, in units of the cell vectors:
H 0.0000 0.5000 0.5000  4 Rb 2.72
H 0.5000 0.2500 0.7500  4 Rb 2.72
B 0.0000 0.0000 0.0000  4 Rb 3.25
B 0.5000 0.7500 0.2500  4 Rb 3.25
Rb 0.9481 0.5731 0.1250  2 H 2.72
Rb 0.0519 0.1769 0.6250  2 H 2.72
Rb 0.5519 0.3750 0.4269  2 H 2.72
Rb 0.4481 0.8750 0.8231  2 H 2.72

---

Stability ranking, top entry: run b; the second entry is 0.9 kJ/mol of atoms less favorable.

---

Run a
# Tl2CrW

Tl2CrW at its PBEsol-relaxed geometry (meta-GGA SCAN, Alexandria via LeMat-Bulk).

Values from the calculation:
Total magnetization   0.00 Bohr magnetons per cell

a b c (Å): 2.9690 4.7056 6.2093
angles (deg): 111.94 103.83 90.00
Last column: nearest neighbours and their distance in Å.
Sites, in units of the cell vectors:
Cr 0.7800 0.2820 0.5600  2 W 2.32
Tl 0.0321 0.0297 0.0642  4 W 2.96, 2 Tl 2.97, 2 Cr 3.13
Tl 0.2472 0.7491 0.4945  4 Cr 2.80-2.81, 2 Tl 2.97
W 0.4407 0.4392 0.8813  2 Cr 2.32

---

Run b
# Tl2CrW

Tl2CrW at its PBEsol-relaxed geometry (meta-GGA SCAN, Alexandria via LeMat-Bulk).

Values from the calculation:
Total magnetization   3.59 Bohr magnetons per cell

a b c (Å): 2.9682 5.3973 5.6453
angles (deg): 117.95 104.23 92.05
Last column: nearest neighbours and their distance in Å.
Sites, in units of the cell vectors:
Cr 0.0000 0.5000 0.0000  4 Tl 2.85, 2 Cr 2.97, 4 W 3.03-3.13
Tl 0.0000 0.0000 0.5000  2 W 2.85, 2 Cr 2.85, 6 Tl 2.97-3.13
Tl 0.5000 0.5000 0.5000  2 Cr 2.85, 2 W 2.85, 6 Tl 2.97-3.13
W 0.5000 0.0000 0.0000  4 Tl 2.85, 2 W 2.97, 4 Cr 3.03-3.13

---

Stability ranking, top entry: run a; the second entry is 2.2 kJ/mol of atoms less favorable.

---

Run a
# ScRe2Au

ScRe2Au at its PBEsol-relaxed geometry (meta-GGA SCAN, Alexandria via LeMat-Bulk).

Values from the calculation:
Total magnetization   0.00 Bohr magnetons per cell

a b c (Å): 2.8655 2.8655 9.2942
angles (deg): 81.13 81.13 60.00
Last column: nearest neighbours and their distance in Å.
Sites, in units of the cell vectors:
Au 0.2508 0.2508 0.2475  6 Au 2.87, 3 Sc 2.90, 3 Re 2.92
Re 0.0054 0.0054 0.9838  9 Re 2.62-2.87, 3 Au 2.92
Re 0.7462 0.7462 0.7613  9 Re 2.62-2.87, 3 Sc 2.85
Sc 0.4975 0.4975 0.5075  3 Re 2.85, 6 Sc 2.87, 3 Au 2.90

---

Run b
# ScRe2Au

ScRe2Au at its PBEsol-relaxed geometry (meta-GGA SCAN, Alexandria via LeMat-Bulk).

Values from the calculation:
Total magnetization   0.00 Bohr magnetons per cell

a b c (Å): 2.7978 2.7978 9.6588
angles (deg): 81.67 81.67 60.00
Last column: nearest neighbours and their distance in Å.
Sites, in units of the cell vectors:
Au 0.0000 0.0000 0.0000  6 Au 2.80, 6 Re 2.85
Re 0.2512 0.2512 0.2464  6 Re 2.80, 3 Au 2.85, 3 Sc 2.91
Re 0.7488 0.7488 0.7536  6 Re 2.80, 3 Au 2.85, 3 Sc 2.91
Sc 0.5000 0.5000 0.5000  6 Sc 2.80, 6 Re 2.91

---

Stability ranking, top entry: run a; the second entry is 34.4 kJ/mol of atoms less favorable.

---

Run a
# LaTaMo2

LaTaMo2 at its PBEsol-relaxed geometry (meta-GGA SCAN, Alexandria via LeMat-Bulk).

Values from the calculation:
Total magnetization   0.00 Bohr magnetons per cell

a b c (Å): 2.9207 2.9207 9.4134
angles (deg): 90.00 90.00 112.98
Last column: nearest neighbours and their distance in Å.
Sites, in units of the cell vectors:
La 0.5000 0.5000 0.0000  6 La 2.92-3.22, 4 Mo 3.05
Mo 0.0000 0.0000 0.2755  2 Ta 2.66, 4 Mo 2.92
Mo 0.0000 0.0000 0.7245  2 Ta 2.66, 4 Mo 2.92
Ta 0.5000 0.5000 0.5000  4 Mo 2.66, 4 Ta 2.92

---

Run b
# LaTaMo2

LaTaMo2 at its PBEsol-relaxed geometry (meta-GGA SCAN, Alexandria via LeMat-Bulk).

Values from the calculation:
Total magnetization   0.00 Bohr magnetons per cell

a b c (Å): 3.2345 5.6192 4.7257
angles (deg): 114.87 90.00 106.73
Last column: nearest neighbours and their distance in Å.
Sites, in units of the cell vectors:
La 0.7412 0.4824 0.2412  6 Mo 2.87-2.92, 2 Ta 3.00
Mo 0.9897 0.9793 0.9897  2 Mo 2.69, 4 Ta 2.87, 2 La 2.92
Mo 0.2668 0.5335 0.7668  2 Mo 2.69, 4 La 2.87
Ta 0.5024 0.0047 0.5024  6 Mo 2.87-3.03, 2 La 3.00

---

Stability ranking, top entry: run a; the second entry is 19.2 kJ/mol of atoms less favorable.

---

Run a
# Ta7Mo

Ta7Mo at its PBEsol-relaxed geometry (meta-GGA SCAN, Alexandria via LeMat-Bulk).

Values from the calculation:
Total magnetization   0.00 Bohr magnetons per cell

a b c (Å): 3.2479 6.5339 7.2956
angles (deg): 116.60 90.00 90.00
Last column: nearest neighbours and their distance in Å.
Sites, in units of the cell vectors:
Mo 0.0000 0.0000 0.0000  8 Ta 2.77
Ta 0.5000 0.6352 0.7555  2 Mo 2.77, 6 Ta 2.83-2.85
Ta 0.0000 0.2540 0.5080  8 Ta 2.84-2.85
Ta 0.5000 0.8796 0.2445  2 Mo 2.77, 6 Ta 2.83-2.85
Ta 0.0000 0.5000 0.0000  8 Ta 2.83
Ta 0.5000 0.1204 0.7555  2 Mo 2.77, 6 Ta 2.83-2.85
Ta 0.0000 0.7460 0.4920  8 Ta 2.84-2.85
Ta 0.5000 0.3648 0.2445  2 Mo 2.77, 6 Ta 2.83-2.85

---

Run b
# Ta7Mo

Ta7Mo at its PBEsol-relaxed geometry (meta-GGA SCAN, Alexandria via LeMat-Bulk).

Values from the calculation:
Total magnetization   0.00 Bohr magnetons per cell

a b c (Å): 4.6010 4.6010 6.5365
angles (deg): 90.00 90.00 90.00
Last column: nearest neighbours and their distance in Å.
Sites, in units of the cell vectors:
Mo 0.0000 0.0000 0.0000  8 Ta 2.80
Ta 0.5000 0.0000 0.2443  6 Ta 2.80-2.84, 2 Mo 2.80
Ta 0.0000 0.0000 0.5000  8 Ta 2.84
Ta 0.5000 0.0000 0.7557  6 Ta 2.80-2.84, 2 Mo 2.80
Ta 0.5000 0.5000 0.0000  8 Ta 2.80
Ta 0.0000 0.5000 0.2443  6 Ta 2.80-2.84, 2 Mo 2.80
Ta 0.5000 0.5000 0.5000  8 Ta 2.84
Ta 0.0000 0.5000 0.7557  6 Ta 2.80-2.84, 2 Mo 2.80

---

Stability ranking, top entry: run a; the second entry is 1.1 kJ/mol of atoms less favorable.

---

Run a
# LiTeBr

LiTeBr at its PBEsol-relaxed geometry (meta-GGA SCAN, Alexandria via LeMat-Bulk).

Values from the calculation:
Total magnetization   0.01 Bohr magnetons per cell

a b c (Å): 3.4841 4.8216 4.8216
angles (deg): 120.00 90.00 90.00
Last column: nearest neighbours and their distance in Å.
Sites, in units of the cell vectors:
Te 0.3339 0.3333 0.6667  6 Li 3.28-3.29, 6 Br 3.28, 2 Te 3.48
Br 0.8334 0.0000 0.0000  3 Li 2.78
Li 0.8327 0.6667 0.3333  3 Br 2.78

---

Run b
# LiTeBr

LiTeBr at its PBEsol-relaxed geometry (meta-GGA SCAN, Alexandria via LeMat-Bulk).

Values from the calculation:
Total magnetization   0.00 Bohr magnetons per cell

a b c (Å): 3.3176 3.3176 7.6593
angles (deg): 90.00 90.00 120.00
Last column: nearest neighbours and their distance in Å.
Sites, in units of the cell vectors:
Te 0.6667 0.3333 0.3886  3 Li 3.08, 6 Te 3.32
Br 0.0000 0.0000 0.9081  3 Li 2.48
Li 0.3333 0.6667 0.7034  3 Br 2.48

---

Stability ranking, top entry: run b; the second entry is 33.9 kJ/mol of atoms less favorable.